MnSb2N2 | PBE-GGA | optimized geometry

Calculated values
- relative energy among the computed polymorphs (meV/atom) = 268
- total moment (μB per formula unit) = 0.04
- E (eV/atom) = -5.518

Cell lengths 3.688, 3.688, 11.721 Å; angles 90.00, 90.00, 90.00 degrees
Space group I4/mmm (No. 139)
Inequivalent atoms, fractional coordinates:
1 Mn 0.000 0.000 0.000
2 Sb 0.000 0.000 0.349
3 N 0.000 0.500 0.250